Compound: Y2ZnCu
Source: the Alexandria database
Functional: meta-GGA SCAN
Structure: PBEsol geometry

Formation enthalpy at 0 K in eV/atom: -0.37
E_tot in eV/atom: -21.47
Crystal system: orthorhombic
M_tot in μB/f.u.: 0.0

Lattice parameters (Å, degrees): 3.484 4.897 4.900 90.00 90.00 90.00
Positions (direct):
Y  0.000  0.000  0.000
Y  0.000  0.500  0.496
Zn  0.500  0.000  0.504
Cu  0.500  0.500  0.990

Compound: LiMnNi2
Source: the Alexandria database
Functional: meta-GGA SCAN
Structure: PBEsol geometry

Formation enthalpy at 0 K in eV/atom: -0.05
E_tot in eV/atom: -13.30
Crystal system: cubic
M_tot in μB/f.u.: 4.9

Lattice parameters (Å, degrees): 3.984 3.984 3.984 60.00 60.00 60.00
Positions (direct):
Li  0.000  0.000  0.000
Mn  0.750  0.750  0.750
Ni  0.250  0.250  0.250
Ni  0.500  0.500  0.500

What did the second record say?
Compound: LiMnNi2
Source: the Alexandria database
Functional: meta-GGA SCAN
Structure: PBEsol geometry

Formation enthalpy at 0 K in eV/atom: -0.05
E_tot in eV/atom: -13.30
Crystal system: cubic
M_tot in μB/f.u.: 4.9

Lattice parameters (Å, degrees): 3.984 3.984 3.984 60.00 60.00 60.00
Positions (direct):
Li  0.000  0.000  0.000
Mn  0.750  0.750  0.750
Ni  0.250  0.250  0.250
Ni  0.500  0.500  0.500

Question: Look up the M_tot of the first one.
Answer: 0.0 μB/f.u.